Computed, not measured: La4CdIr2 after structural relaxation at the PBE level of DFT.

a b c (Å): 8.364 8.364 8.370
angles (deg): 109.55 109.50 109.34
Atoms (fractional coordinates):
La  0.907  0.224  0.318
La  0.344  0.526  0.183
La  0.906  0.589  0.682
La  0.776  0.094  0.683
La  0.411  0.094  0.317
La  0.344  0.161  0.817
La  0.474  0.657  0.818
La  0.839  0.656  0.182
Cd  0.249  0.749  0.500
Cd  0.001  0.001  0.000
Ir  0.625  0.375  0.750
Ir  0.625  0.875  0.250
Ir  0.625  0.375  0.250
Ir  0.125  0.375  0.750

Relative energy among the computed polymorphs = 105 meV/atom
Crystal system = orthorhombic
ΔE_f = -0.4770 eV/atom
Space group = Imma, No. 74



Computed, not measured: Hf3MgFe8 after structural relaxation at the PBE level of DFT.

a b c (Å): 4.912 4.912 8.490
angles (deg): 73.19 73.19 60.00
Last column: magnetic moment on the atom in μB.
Atoms (fractional coordinates):
Hf  0.376  0.376  0.873  -0.49
Hf  0.997  0.997  0.008  -0.46
Hf  0.502  0.502  0.493  -0.50
Mg  0.874  0.874  0.378  -0.03
Fe  0.939  0.437  0.187  1.79
Fe  0.438  0.937  0.688  1.86
Fe  0.437  0.437  0.187  1.79
Fe  0.937  0.937  0.688  1.86
Fe  0.188  0.188  0.437  1.76
Fe  0.687  0.687  0.938  1.87
Fe  0.437  0.939  0.187  1.79
Fe  0.937  0.438  0.688  1.86

Crystal system = trigonal
ΔE_f = -0.2601 eV/atom
Space group = R3m, No. 160



Computed, not measured: K6TlHg4 after structural relaxation at the PBE level of DFT.

a b c (Å): 8.434 11.555 11.555
angles (deg): 120.00 90.00 90.00
Atoms (fractional coordinates):
K  0.456  0.732  0.866
K  0.456  0.134  0.268
K  0.456  0.134  0.866
K  0.956  0.268  0.134
K  0.956  0.866  0.732
K  0.956  0.866  0.134
K  0.635  0.950  0.475
K  0.635  0.525  0.050
K  0.635  0.525  0.475
K  0.135  0.050  0.525
K  0.135  0.475  0.950
K  0.135  0.475  0.525
Tl  0.742  0.333  0.667
Tl  0.242  0.667  0.333
Hg  0.381  0.333  0.667
Hg  0.881  0.667  0.333
Hg  0.866  0.617  0.808
Hg  0.866  0.192  0.383
Hg  0.866  0.192  0.808
Hg  0.366  0.383  0.192
Hg  0.366  0.808  0.617
Hg  0.366  0.808  0.192

Crystal system = hexagonal
ΔE_f = -0.1698 eV/atom
Space group = P6_3mc, No. 186



Computed, not measured: V2NiAu after structural relaxation at the PBE level of DFT.

a b c (Å): 4.368 4.368 4.368
angles (deg): 60.00 60.00 60.00
Last column: magnetic moment on the atom in μB.
Atoms (fractional coordinates):
Ni  0.000  0.000  0.000  0.35
Au  0.500  0.500  0.500  0.13
V  0.250  0.250  0.250  1.71
V  0.750  0.750  0.750  1.71

Relative energy among the computed polymorphs = 232 meV/atom
Crystal system = cubic
ΔE_f = 0.1753 eV/atom
Space group = Fm-3m, No. 225



Number 1: DFT total energy -83.37 eV for the cell shown. Number 2: DFT total energy -102.28 eV for the cell shown. Number 3: DFT total energy -24.05 eV for the cell shown. Number 4: DFT total energy -26.59 eV for the cell shown.